<A>
## PmLuPu (GGA-PBE)

Data for crystalline PmLuPu at its relaxed geometry. Values from VASP.

Values from the calculation:
N(E_F): 6.868 states/eV/f.u.
spin magnetization: 6.12 μB per formula unit

The structure in Quantum ESPRESSO input format:
```
&SYSTEM
  ibrav = 0, nat = 6, ntyp = 3
/
ATOMIC_SPECIES
Pm 145.00 Pm.upf
Lu 174.97 Lu.upf
Pu 244.00 Pu.upf
CELL_PARAMETERS angstrom
3.509 0.000 0.000
0.000 3.509 0.000
0.000 0.000 14.762
ATOMIC_POSITIONS crystal
Pm 0.000 0.000 0.000
Pm 0.500 0.500 0.500
Lu 0.000 0.000 0.327
Lu 0.500 0.500 0.827
Pu 0.000 0.000 0.667
Pu 0.500 0.500 0.167
```

***

<B>
## PmLuPu (GGA-PBE)

Data for crystalline PmLuPu at its relaxed geometry. Values from VASP.

Values from the calculation:
N(E_F): 8.690 states/eV/f.u.
spin magnetization: 6.17 μB per formula unit

The structure in Quantum ESPRESSO input format:
```
&SYSTEM
  ibrav = 0, nat = 3, ntyp = 3
/
ATOMIC_SPECIES
Pm 145.00 Pm.upf
Lu 174.97 Lu.upf
Pu 244.00 Pu.upf
CELL_PARAMETERS angstrom
3.521 0.000 0.000
-1.760 3.049 0.000
0.000 0.000 8.523
ATOMIC_POSITIONS crystal
Pm 0.000 0.000 0.000
Lu 0.667 0.333 0.338
Pu 0.333 0.667 0.662
```

***

Least stable = <B>

***

<A>
## PmLuPu2 (GGA-PBE)

Data for crystalline PmLuPu2 at its relaxed geometry. Values from VASP.

Values from the calculation:
N(E_F): 15.682 states/eV/f.u.
spin magnetization: 12.46 μB per formula unit

The structure in Quantum ESPRESSO input format:
```
&SYSTEM
  ibrav = 0, nat = 4, ntyp = 3
/
ATOMIC_SPECIES
Pm 145.00 Pm.upf
Lu 174.97 Lu.upf
Pu 244.00 Pu.upf
CELL_PARAMETERS angstrom
4.817 0.000 0.000
0.000 4.817 0.000
0.000 0.000 5.032
ATOMIC_POSITIONS crystal
Pm 0.000 0.000 0.000
Lu 0.500 0.500 0.000
Pu 0.000 0.500 0.500
Pu 0.500 0.000 0.500
```

***

<B>
## PmLuPu2 (GGA-PBE)

Data for crystalline PmLuPu2 at its relaxed geometry. Values from VASP.

Values from the calculation:
N(E_F): 13.784 states/eV/f.u.
spin magnetization: 12.80 μB per formula unit

The structure in Quantum ESPRESSO input format:
```
&SYSTEM
  ibrav = 0, nat = 4, ntyp = 3
/
ATOMIC_SPECIES
Pm 145.00 Pm.upf
Lu 174.97 Lu.upf
Pu 244.00 Pu.upf
CELL_PARAMETERS angstrom
3.409 0.000 0.000
0.000 3.409 0.000
0.000 0.000 10.110
ATOMIC_POSITIONS crystal
Pm 0.000 0.000 0.000
Lu 0.000 0.000 0.500
Pu 0.500 0.500 0.257
Pu 0.500 0.500 0.743
```

***

Least stable = <A>

***

<A>
## PmLuRu2 (GGA-PBE)

Data for crystalline PmLuRu2 at its relaxed geometry. Values from VASP.

Values from the calculation:
N(E_F): 5.071 states/eV/f.u.
spin magnetization: 0.00 μB per formula unit

The structure in Quantum ESPRESSO input format:
```
&SYSTEM
  ibrav = 0, nat = 4, ntyp = 3
/
ATOMIC_SPECIES
Pm 145.00 Pm.upf
Lu 174.97 Lu.upf
Ru 101.07 Ru.upf
CELL_PARAMETERS angstrom
3.405 0.000 0.000
0.000 3.405 0.000
0.000 0.000 6.832
ATOMIC_POSITIONS crystal
Pm 0.000 0.000 0.000
Lu 0.000 0.000 0.500
Ru 0.500 0.500 0.260
Ru 0.500 0.500 0.740
```

***

<B>
## PmLuRu2 (GGA-PBE)

Data for crystalline PmLuRu2 at its relaxed geometry. Values from VASP.

Values from the calculation:
N(E_F): 4.469 states/eV/f.u.
spin magnetization: 0.01 μB per formula unit

The structure in Quantum ESPRESSO input format:
```
&SYSTEM
  ibrav = 0, nat = 16, ntyp = 3
/
ATOMIC_SPECIES
Pm 145.00 Pm.upf
Lu 174.97 Lu.upf
Ru 101.07 Ru.upf
CELL_PARAMETERS angstrom
6.816 0.000 0.000
0.000 6.816 0.000
0.000 0.000 6.816
ATOMIC_POSITIONS crystal
Pm 0.000 0.000 0.000
Pm 0.000 0.500 0.500
Pm 0.500 0.000 0.500
Pm 0.500 0.500 0.000
Lu 0.000 0.000 0.500
Lu 0.000 0.500 0.000
Lu 0.500 0.000 0.000
Lu 0.500 0.500 0.500
Ru 0.250 0.250 0.250
Ru 0.250 0.250 0.750
Ru 0.250 0.750 0.250
Ru 0.250 0.750 0.750
Ru 0.750 0.250 0.250
Ru 0.750 0.250 0.750
Ru 0.750 0.750 0.250
Ru 0.750 0.750 0.750
```

***

Least stable = <B>